First-principles (PBE-GGA) data for a relaxed TbHoH2I4 crystal, as listed in OQMD.

Output
The calculation puts the mass density at 6.1 g cm⁻³. The calculation puts the total energy at -31.62 eV/f.u.

Cell and atoms, written as CIF:
```
data_TbHoH2I4
_symmetry_space_group_name_H-M 'P -6 m 2'
_symmetry_Int_Tables_number 187
_symmetry_space_group_name_Hall 'P -6 2'
_cell_length_a 3.9922
_cell_length_b 3.9922
_cell_length_c 16.3976
_cell_angle_alpha 90.00
_cell_angle_beta 90.00
_cell_angle_gamma 120.00
loop_
_atom_site_label
_atom_site_fract_x
_atom_site_fract_y
_atom_site_fract_z
Tb1 0.0000 0.0000 0.0000
Ho1 0.0000 0.0000 0.5000
H1 0.3333 0.6667 0.0000
H2 0.6667 0.3333 0.5000
I1 0.3333 0.6667 0.3720
I2 0.6667 0.3333 0.1297
```



First-principles (PBE-GGA) data for a relaxed IrPb crystal, as listed in OQMD.

Output
The calculation puts the mass density at 15.4 g cm⁻³. The calculation puts the total energy at -12.05 eV/f.u.

Cell and atoms, written as CIF:
```
data_IrPb
_symmetry_space_group_name_H-M 'P 63/m m c'
_symmetry_Int_Tables_number 194
_symmetry_space_group_name_Hall '-P 6c 2c'
_cell_length_a 4.1711
_cell_length_b 4.1711
_cell_length_c 5.7105
_cell_angle_alpha 90.00
_cell_angle_beta 90.00
_cell_angle_gamma 120.00
loop_
_atom_site_label
_atom_site_fract_x
_atom_site_fract_y
_atom_site_fract_z
Ir1 0.0000 0.0000 0.0000
Pb1 0.3333 0.6667 0.2500
```



First-principles (PBE-GGA) data for a relaxed DyHoGe2Os crystal, as listed in OQMD.

Output
The calculation puts the mass density at 10.7 g cm⁻³. The calculation puts the total energy at -33.14 eV/f.u. As for the energy relative to the lowest polymorph listed for this composition: 0 meV/atom.

Cell and atoms, written as CIF:
```
data_DyHoGe2Os
_symmetry_space_group_name_H-M 'C 1 2/m 1'
_symmetry_Int_Tables_number 12
_symmetry_space_group_name_Hall '-C 2y'
_cell_length_a 10.7636
_cell_length_b 4.2939
_cell_length_c 10.1245
_cell_angle_alpha 90.00
_cell_angle_beta 118.15
_cell_angle_gamma 90.00
loop_
_atom_site_label
_atom_site_fract_x
_atom_site_fract_y
_atom_site_fract_z
Dy1 0.1841 0.0000 0.1151
Ho1 0.0040 0.0000 0.6749
Ge1 0.0127 0.5000 0.8755
Ge2 0.1428 0.5000 0.5614
Os1 0.2295 0.5000 0.3680
```



First-principles (PBE-GGA) data for a relaxed Al7W6 crystal, as listed in OQMD.

Output
The calculation puts the mass density at 11.0 g cm⁻³. The calculation puts the total energy at -103.57 eV/f.u. As for the energy relative to the lowest polymorph listed for this composition: 0 meV/atom.

Cell and atoms, written as CIF:
```
data_Al7W6
_symmetry_space_group_name_H-M 'R -3 m'
_symmetry_Int_Tables_number 166
_symmetry_space_group_name_Hall '-R 3 2"'
_cell_length_a 5.0186
_cell_length_b 5.0186
_cell_length_c 26.8261
_cell_angle_alpha 90.00
_cell_angle_beta 90.00
_cell_angle_gamma 120.00
loop_
_atom_site_label
_atom_site_fract_x
_atom_site_fract_y
_atom_site_fract_z
Al1 0.0000 0.0000 0.0000
Al2 0.0039 0.5019 0.4123
W1 0.0000 0.0000 0.1668
W2 0.0000 0.0000 0.3520
W3 0.0000 0.0000 0.4521
```



First-principles (PBE-GGA) data for a relaxed ZnAg2O4 crystal, as listed in OQMD.

Output
The calculation puts the mass density at 6.6 g cm⁻³. The calculation puts the total energy at -28.17 eV/f.u.

Cell and atoms, written as CIF:
```
data_ZnAg2O4
_symmetry_space_group_name_H-M 'I 41/a m d'
_symmetry_Int_Tables_number 141
_cell_length_a 6.3938
_cell_length_b 6.3938
_cell_length_c 8.5333
_cell_angle_alpha 90.00
_cell_angle_beta 90.00
_cell_angle_gamma 90.00
loop_
_symmetry_equiv_pos_as_xyz
'x,y,z'
'-x,-y,-z'
'-y+1/4,x+3/4,z+1/4'
'y+1/4,-x+3/4,-z+1/4'
'-x+1/2,-y,z+1/2'
'x+1/2,y,-z+1/2'
'y+1/4,-x+1/4,z+3/4'
'-y+1/4,x+1/4,-z+3/4'
'x,-y,-z'
'-x,y,z'
'-y+1/4,-x+1/4,-z+3/4'
'y+1/4,x+1/4,z+3/4'
'-x+1/2,y,-z+1/2'
'x+1/2,-y,z+1/2'
'y+1/4,x+3/4,-z+1/4'
'-y+1/4,-x+3/4,z+1/4'
'x+1/2,y+1/2,z+1/2'
'-x+1/2,-y+1/2,-z+1/2'
'-y+3/4,x+1/4,z+3/4'
'y+3/4,-x+1/4,-z+3/4'
'-x,-y+1/2,z'
'x,y+1/2,-z'
'y+3/4,-x+3/4,z+1/4'
'-y+3/4,x+3/4,-z+1/4'
'x+1/2,-y+1/2,-z+1/2'
'-x+1/2,y+1/2,z+1/2'
'-y+3/4,-x+3/4,-z+1/4'
'y+3/4,x+3/4,z+1/4'
'-x,y+1/2,-z'
'x,-y+1/2,z'
'y+3/4,x+1/4,-z+3/4'
'-y+3/4,-x+1/4,z+3/4'
loop_
_atom_site_label
_atom_site_fract_x
_atom_site_fract_y
_atom_site_fract_z
Zn1 0.0000 0.2500 0.3750
Ag1 0.0000 0.0000 0.0000
O1 0.0000 0.0044 0.7557
```



First-principles (PBE-GGA) data for a relaxed DyPbNO crystal, as listed in OQMD.

Output
The calculation puts the mass density at 8.3 g cm⁻³. The calculation puts the total energy at -26.61 eV/f.u. As for the energy relative to the lowest polymorph listed for this composition: 247 meV/atom.

Cell and atoms, written as CIF:
```
data_DyPbNO
_symmetry_space_group_name_H-M 'P 4/n m m'
_symmetry_Int_Tables_number 129
_cell_length_a 4.4631
_cell_length_b 4.4631
_cell_length_c 8.0352
_cell_angle_alpha 90.00
_cell_angle_beta 90.00
_cell_angle_gamma 90.00
loop_
_symmetry_equiv_pos_as_xyz
'x,y,z'
'-x,-y,-z'
'-y+1/2,x,z'
'y+1/2,-x,-z'
'-x+1/2,-y+1/2,z'
'x+1/2,y+1/2,-z'
'y,-x+1/2,z'
'-y,x+1/2,-z'
'x+1/2,-y,-z'
'-x+1/2,y,z'
'-y,-x,-z'
'y,x,z'
'-x,y+1/2,-z'
'x,-y+1/2,z'
'y+1/2,x+1/2,-z'
'-y+1/2,-x+1/2,z'
loop_
_atom_site_label
_atom_site_fract_x
_atom_site_fract_y
_atom_site_fract_z
Dy1 0.2500 0.2500 0.0908
Pb1 0.2500 0.7500 0.5000
N1 0.2500 0.2500 0.3592
O1 0.2500 0.7500 0.0000
```



- mass density of number 2 (IrPb)?
  15.4 g cm⁻³



- What is the mass density in the first record?
  6.1 g cm⁻³